(1)
A plane-wave DFT calculation with PBE-GGA was carried out for a relaxed LiCo2Ru crystal.

Unit cell a=4.0736 b=4.0736 c=4.0736 alpha=60.00 beta=60.00 gamma=60.00
Closest atoms and distances in Å follow each position.
Atoms (fractional coordinates):
Co (0.0000, 0.0000, 0.0000)  4 Co 2.49, 4 Ru 2.49
Co (0.7500, 0.7500, 0.7500)  4 Li 2.49, 4 Co 2.49
Li (0.5000, 0.5000, 0.5000)  4 Co 2.49, 4 Ru 2.49
Ru (0.2500, 0.2500, 0.2500)  4 Co 2.49, 4 Li 2.49

Values from the calculation:
Distance to the lowest polymorph of the same formula: 87 meV/atom
SG: F-43m (216)
Total magnetization: 4.88 μB per formula unit
DFT total energy: -6.088 eV per atom
ΔE_f: 0.263 eV per atom

---

(2)
A plane-wave DFT calculation with PBE-GGA was carried out for a relaxed LiCoRu crystal.

Unit cell a=4.4288 b=5.0065 c=5.0065 alpha=57.08 beta=104.78 gamma=75.22
Closest atoms and distances in Å follow each position.
Atoms (fractional coordinates):
Ru (0.0000, 0.9529, 0.9529)  3 Co 2.28-2.48, 2 Ru 2.50
Ru (0.5000, 0.5808, 0.5808)  4 Co 2.39-2.43, 2 Ru 2.50, 4 Li 2.58-2.62
Co (0.0000, 0.6933, 0.6933)  3 Ru 2.28-2.43, 2 Co 2.44
Co (0.5000, 0.0790, 0.0790)  4 Ru 2.39-2.48, 2 Co 2.44, 4 Li 2.58-2.62
Li (0.3145, 0.1720, 0.4828)  1 Li 2.36, 2 Co 2.58-2.62, 2 Ru 2.58-2.62
Li (0.6855, 0.4828, 0.1720)  1 Li 2.36, 2 Co 2.58-2.62, 2 Ru 2.58-2.62

Values from the calculation:
Distance to the lowest polymorph of the same formula: 123 meV/atom
SG: C2 (5)
Total magnetization: 0.03 μB per formula unit
DFT total energy: -5.837 eV per atom
ΔE_f: 0.262 eV per atom

---

(3)
A plane-wave DFT calculation with PBE-GGA was carried out for a relaxed LiCoRu crystal.

Unit cell a=2.6095 b=4.4915 c=6.7121 alpha=94.72 beta=78.84 gamma=90.03
Closest atoms and distances in Å follow each position.
Atoms (fractional coordinates):
Li (0.7436, 0.7507, 0.0147)  6 Li 2.59-2.62, 3 Co 2.62-2.82, 3 Ru 2.72-2.78
Li (0.2564, 0.2493, 0.9853)  6 Li 2.59-2.62, 3 Co 2.62-2.82, 3 Ru 2.72-2.78
Co (0.0765, 0.6374, 0.3454)  3 Co 2.47-2.61, 6 Ru 2.52-2.66, 2 Li 2.62-2.63
Co (0.9235, 0.3626, 0.6546)  3 Co 2.47-2.61, 6 Ru 2.52-2.66, 2 Li 2.62-2.63
Ru (0.4240, 0.8465, 0.6532)  6 Co 2.52-2.66, 3 Ru 2.54-2.61, 3 Li 2.72-2.78
Ru (0.5760, 0.1535, 0.3468)  6 Co 2.52-2.66, 3 Ru 2.54-2.61, 3 Li 2.72-2.78

Values from the calculation:
Distance to the lowest polymorph of the same formula: 53 meV/atom
SG: P-1 (2)
Total magnetization: 1.51 μB per formula unit
DFT total energy: -5.907 eV per atom
ΔE_f: 0.191 eV per atom

---

(4)
A plane-wave DFT calculation with PBE-GGA was carried out for a relaxed LiCo2Ru crystal.

Unit cell a=6.5291 b=6.5291 c=5.2270 alpha=51.35 beta=51.35 gamma=90.00
Closest atoms and distances in Å follow each position.
Atoms (fractional coordinates):
Ru (0.0000, 0.0000, 0.0000)  4 Co 2.37, 2 Li 2.45
Ru (0.7500, 0.2500, 0.5000)  4 Co 2.37, 2 Li 2.45
Co (0.6291, 0.1250, 0.2500)  2 Ru 2.37, 2 Li 2.41, 2 Co 2.45
Co (0.1209, 0.6250, 0.2500)  2 Ru 2.37, 2 Li 2.41, 2 Co 2.45
Co (0.3750, 0.3709, 0.7500)  2 Ru 2.37, 2 Li 2.41, 2 Co 2.45
Co (0.8750, 0.8791, 0.7500)  2 Ru 2.37, 2 Li 2.41, 2 Co 2.45
Li (0.5000, 0.5000, 0.0000)  4 Co 2.41, 2 Ru 2.45
Li (0.2500, 0.7500, 0.5000)  4 Co 2.41, 2 Ru 2.45

Values from the calculation:
Distance to the lowest polymorph of the same formula: 456 meV/atom
SG: I-42d (122)
Total magnetization: 4.57 μB per formula unit
DFT total energy: -5.719 eV per atom
ΔE_f: 0.631 eV per atom

---

Q: Which of these has the lowest total magnetization?
A: number 2

---

Q: total magnetization of number 4 (LiCo2Ru)?
A: 4.57 μB per formula unit

---

Q: Among the records above, which one has the lowest ΔE_f?
A: number 3